Below is a PBEsol-optimized structure of Na3ScH, with properties calculated at the meta-GGA SCAN level.

```
data_Na3ScH
_space_group_name_H-M_alt 'P m -3 m'
_space_group_IT_number 221
_space_group_name_Hall '-P 4 2 3'
_cell_length_a 4.940
_cell_length_b 4.940
_cell_length_c 4.940
_cell_angle_alpha 90.00
_cell_angle_beta 90.00
_cell_angle_gamma 90.00
loop_
_atom_site_label
_atom_site_fract_x
_atom_site_fract_y
_atom_site_fract_z
Na1 0.000 0.000 0.500
Sc1 0.500 0.500 0.500
H1 0.000 0.000 0.000
```

Computed properties:
M_tot ... 1.328 Bohr magnetons per cell
Fermi-level density of states ... 2.79 states/eV per cell
Electronic total energy ... -0.416 Ry per atom

=====

Below is a PBEsol-optimized structure of Mg2RhSe, with properties calculated at the meta-GGA SCAN level.

```
data_Mg2RhSe
_space_group_name_H-M_alt 'P 4/m m m'
_space_group_IT_number 123
_space_group_name_Hall '-P 4 2'
_cell_length_a 4.363
_cell_length_b 4.363
_cell_length_c 3.470
_cell_angle_alpha 90.00
_cell_angle_beta 90.00
_cell_angle_gamma 90.00
loop_
_atom_site_label
_atom_site_fract_x
_atom_site_fract_y
_atom_site_fract_z
Mg1 0.000 0.500 0.000
Rh1 0.000 0.000 0.500
Se1 0.500 0.500 0.500
```

Computed properties:
M_tot ... 0.000 Bohr magnetons per cell
Fermi-level density of states ... 1.55 states/eV per cell
E_form (uncorrected) ... -0.56 eV per atom

=====

Below is a PBEsol-optimized structure of Ta2TlAg, with properties calculated at the meta-GGA SCAN level.

```
data_Ta2TlAg
_space_group_name_H-M_alt 'P 4/m m m'
_space_group_IT_number 123
_space_group_name_Hall '-P 4 2'
_cell_length_a 3.570
_cell_length_b 3.570
_cell_length_c 5.736
_cell_angle_alpha 90.00
_cell_angle_beta 90.00
_cell_angle_gamma 90.00
loop_
_atom_site_label
_atom_site_fract_x
_atom_site_fract_y
_atom_site_fract_z
Ta1 0.000 0.000 0.246
Tl1 0.500 0.500 0.500
Ag1 0.500 0.500 0.000
```

Computed properties:
M_tot ... 0.000 Bohr magnetons per cell
Fermi-level density of states ... 2.67 states/eV per cell
Electronic total energy ... -4.306 Ry per atom

=====

Below is a PBEsol-optimized structure of BaZn, with properties calculated at the meta-GGA SCAN level.

```
data_BaZn
_space_group_name_H-M_alt 'R -3 m'
_space_group_IT_number 166
_space_group_name_Hall '-R 3 2"'
_cell_length_a 4.3437
_cell_length_b 4.3437
_cell_length_c 13.6579
_cell_angle_alpha 90.00
_cell_angle_beta 90.00
_cell_angle_gamma 120.00
loop_
_atom_site_label
_atom_site_fract_x
_atom_site_fract_y
_atom_site_fract_z
Ba1 0.0000 0.0000 0.0000
Zn1 0.0000 0.0000 0.5000
```

Computed properties:
M_tot ... 0.000 Bohr magnetons per cell
Fermi-level density of states ... 6.47 states/eV per cell
Electronic total energy ... -1.947 Ry per atom

=====

Below is a PBEsol-optimized structure of AlBiAsRu2, with properties calculated at the meta-GGA SCAN level.

```
data_AlBiAsRu2
_space_group_name_H-M_alt 'P 4/m m m'
_space_group_IT_number 123
_space_group_name_Hall '-P 4 2'
_cell_length_a 4.578
_cell_length_b 4.578
_cell_length_c 4.708
_cell_angle_alpha 90.00
_cell_angle_beta 90.00
_cell_angle_gamma 90.00
loop_
_atom_site_label
_atom_site_fract_x
_atom_site_fract_y
_atom_site_fract_z
Al1 0.000 0.000 0.000
Bi1 0.500 0.500 0.000
As1 0.000 0.000 0.500
Ru1 0.000 0.500 0.500
```

Computed properties:
M_tot ... 0.000 Bohr magnetons per cell
Fermi-level density of states ... 4.30 states/eV per cell
Electronic total energy ... -2.533 Ry per atom

=====

Below is a PBEsol-optimized structure of Cr2AgMo, with properties calculated at the meta-GGA SCAN level.

```
data_Cr2AgMo
_space_group_name_H-M_alt 'C m m m'
_space_group_IT_number 65
_space_group_name_Hall '-C 2 2'
_cell_length_a 3.028
_cell_length_b 4.226
_cell_length_c 8.583
_cell_angle_alpha 90.00
_cell_angle_beta 90.00
_cell_angle_gamma 90.00
loop_
_atom_site_label
_atom_site_fract_x
_atom_site_fract_y
_atom_site_fract_z
Cr1 0.000 0.000 0.237
Ag1 0.000 0.500 0.500
Mo1 0.000 0.500 0.000
```

Computed properties:
M_tot ... 0.001 Bohr magnetons per cell
Fermi-level density of states ... 6.87 states/eV per cell
Electronic total energy ... -1.860 Ry per atom